[1]
SrYS2: single point on PBEsol structure, SCAN.

```
4
Lattice="4.3239 0.0000 0.0000 2.1619 3.7446 0.0000 2.1619 1.2482 8.1026" Properties=species:S:1:pos:R:3 pbc="T T T"
Y 0.0000 0.0000 0.0000
Sr 4.3239 2.4964 4.0513
S 6.4858 3.7446 2.4922
S 2.1619 1.2482 5.6104
```

Values from the calculation:
Energy relative to the elements, uncorrected   -1.64 eV/atom
Spin magnetization   0.36 Bohr magnetons per cell
Symmetry   R-3m, No. 166
Theoretical density   3.0 g/cm³

=====

[2]
La2FeTePb: single point on PBEsol structure, SCAN.

```
5
Lattice="-0.5606 -4.6758 -0.9212 2.9507 -1.1734 4.1601 -4.2790 -0.0804 3.0123" Properties=species:S:1:pos:R:3 pbc="T T T"
Pb -0.9444 -2.9648 3.1256
Te -0.2803 -2.3379 -0.4606
Fe 0.0000 0.0000 0.0000
La -2.1395 -0.0402 1.5061
La 1.4753 -0.5867 2.0801
```

Values from the calculation:
Energy relative to the elements, uncorrected   -0.46 eV/atom
Spin magnetization   0.00 Bohr magnetons per cell
Symmetry   P4/mmm, No. 123
Theoretical density   8.4 g/cm³

=====

Number 2 is which compound? La2FeTePb